# PuMnCu2O8 (GGA+U, optimized geometry)
# DFT total energy (eV/cell): -164.931
data_PuMnCu2O8
_chemical_formula_sum 'Pu2 Mn2 Cu4 O16'
_space_group_name_H-M_alt 'I -4 m 2'
_space_group_IT_number 119
_space_group_name_Hall 'I -4 -2'
_cell_length_a 6.428
_cell_length_b 6.428
_cell_length_c 6.943
_cell_angle_alpha 90.00
_cell_angle_beta 90.00
_cell_angle_gamma 90.00
loop_
_atom_site_label
_atom_site_type_symbol
_atom_site_fract_x
_atom_site_fract_y
_atom_site_fract_z
Pu1 Pu 0.000 0.000 0.000
Mn1 Mn 0.000 0.500 0.250
Cu1 Cu 0.000 0.000 0.500
Cu2 Cu 0.000 0.500 0.750
O1 O 0.000 0.197 0.297
O2 O 0.000 0.299 0.950